# 1
Entry from the Alexandria database: a geometry-optimized Mn2VBN structure (PBE).

Summary:
Formation energy without anion corrections = 0.3609 eV per atom
Spin magnetization = 2.0 μB per formula unit

Structure (CIF):
```
data_Mn2VBN
_chemical_formula_sum 'Mn2 V1 B1 N1'
_space_group_name_H-M_alt 'P 4/m m m'
_space_group_IT_number 123
_space_group_name_Hall '-P 4 2'
_cell_length_a 3.592
_cell_length_b 3.592
_cell_length_c 4.052
_cell_angle_alpha 90.00
_cell_angle_beta 90.00
_cell_angle_gamma 90.00
loop_
_atom_site_label
_atom_site_fract_x
_atom_site_fract_y
_atom_site_fract_z
Mn1 0.000 0.500 0.000
V1 0.000 0.000 0.500
B1 0.500 0.500 0.500
N1 0.500 0.500 0.000
```



# 2
Entry from the Alexandria database: a geometry-optimized MgSb2Ru structure (PBE).

Summary:
Formation energy without anion corrections = -0.0546 eV per atom
Spin magnetization = 0.0 μB per formula unit

Structure (CIF):
```
data_MgSb2Ru
_chemical_formula_sum 'Mg1 Sb2 Ru1'
_space_group_name_H-M_alt 'P 1 2/m 1'
_space_group_IT_number 10
_cell_length_a 3.261
_cell_length_b 3.249
_cell_length_c 7.838
_cell_angle_alpha 90.00
_cell_angle_beta 90.31
_cell_angle_gamma 90.00
loop_
_space_group_symop_operation_xyz
'x,y,z'
'-x,-y,-z'
'-x,y,-z'
'x,-y,z'
loop_
_atom_site_label
_atom_site_fract_x
_atom_site_fract_y
_atom_site_fract_z
Mg1 0.000 0.000 0.000
Sb1 0.497 0.500 0.288
Ru1 0.000 0.000 0.500
```



# 3
Entry from the Alexandria database: a geometry-optimized CsK2YGe structure (PBE).

Summary:
Spin magnetization = 0.8 μB per formula unit
Energy of formation from the pure elements = 0.988 eV per atom
Distance to the lowest polymorph of the same formula = 0.874 eV/atom

Structure (CIF):
```
data_CsK2YGe
_chemical_formula_sum 'Cs1 K2 Y1 Ge1'
_space_group_name_H-M_alt 'P 4/m m m'
_space_group_IT_number 123
_space_group_name_Hall '-P 4 2'
_cell_length_a 6.425
_cell_length_b 6.425
_cell_length_c 6.095
_cell_angle_alpha 90.00
_cell_angle_beta 90.00
_cell_angle_gamma 90.00
loop_
_atom_site_label
_atom_site_fract_x
_atom_site_fract_y
_atom_site_fract_z
Cs1 0.000 0.000 0.000
K1 0.000 0.500 0.000
Y1 0.500 0.500 0.500
Ge1 0.000 0.000 0.500
```



What is the formula in the first record? Mn2VBN